! GGA-PBE U7Se12, relaxed; values from VASP
! Formation energy without anion corrections, meV per atom: -1161
! N(E_F), states/eV per cell: 46.06
! Crystal system: hexagonal
! SG: No. 174
&SYSTEM
  ibrav = 0, nat = 19, ntyp = 2
/
ATOMIC_SPECIES
Se 78.96 Se.upf
U 238.03 U.upf
CELL_PARAMETERS angstrom
5.739 -9.940 0.000
5.739 9.940 0.000
0.000 0.000 3.940
ATOMIC_POSITIONS angstrom
Se 10.241 2.074 1.970
Se 7.715 -3.683 0.000
Se 5.071 -1.417 0.000
Se 4.431 -4.840 0.000
Se 7.111 4.717 1.970
Se 3.837 3.800 1.970
Se 2.415 0.035 1.970
Se 4.562 7.832 1.970
Se 1.477 -2.479 0.000
Se 8.593 -0.040 0.000
Se 7.147 -7.422 0.000
Se 6.268 1.423 1.970
U 8.166 2.804 0.000
U 0.000 0.000 0.000
U 6.531 -5.535 1.970
U 3.419 -2.888 1.970
U 7.267 -1.517 1.970
U 4.966 5.670 0.000
U 4.084 1.466 0.000



! GGA-PBE Pm2SiPt, relaxed; values from VASP
! Formation energy without anion corrections, meV per atom: -937
! N(E_F), states/eV per cell: 4.33
! Crystal system: monoclinic
! SG: No. 11
&SYSTEM
  ibrav = 0, nat = 8, ntyp = 3
/
ATOMIC_SPECIES
Pt 195.08 Pt.upf
Pm 145.00 Pm.upf
Si 28.09 Si.upf
CELL_PARAMETERS angstrom
4.291 0.000 0.000
0.000 5.881 -0.011
0.000 -2.949 7.709
ATOMIC_POSITIONS angstrom
Pt 1.073 0.037 5.504
Pt 3.218 2.895 2.193
Pm 1.073 2.937 4.324
Pm 3.218 -0.005 3.374
Pm 3.218 -1.413 7.065
Pm 1.073 4.345 0.633
Si 3.218 1.528 6.092
Si 1.073 1.404 1.606



! GGA-PBE DyMnCl5, relaxed; values from VASP
! Formation energy without anion corrections, meV per atom: -1738
! N(E_F), states/eV per cell: 0.00
! Crystal system: monoclinic
! SG: No. 15
&SYSTEM
  ibrav = 0, nat = 14, ntyp = 3
/
ATOMIC_SPECIES
Cl 35.45 Cl.upf
Dy 162.50 Dy.upf
Mn 54.94 Mn.upf
CELL_PARAMETERS angstrom
6.821 0.371 -2.211
-0.838 6.779 -2.211
-0.536 -0.640 10.134
ATOMIC_POSITIONS angstrom
Cl 5.271 2.528 -2.139
Cl 5.120 2.110 2.928
Cl 0.176 3.983 7.851
Cl 3.544 5.336 4.284
Cl 0.625 0.193 7.900
Cl 4.822 6.317 -2.188
Cl 0.328 4.400 2.784
Cl 2.108 1.965 5.091
Cl 1.904 1.174 1.428
Cl 3.340 4.545 0.621
Dy 0.000 0.000 0.000
Dy 2.724 3.255 2.856
Mn 0.203 2.053 6.495
Mn 5.244 4.457 -0.783



! GGA-PBE Ca2CoTe, relaxed; values from VASP
! Formation energy without anion corrections, meV per atom: 34
! N(E_F), states/eV per cell: 2.73
! Crystal system: cubic
! SG: No. 216
&SYSTEM
  ibrav = 0, nat = 4, ntyp = 3
/
ATOMIC_SPECIES
Ca 40.08 Ca.upf
Te 127.60 Te.upf
Co 58.93 Co.upf
CELL_PARAMETERS angstrom
-2.124 2.348 3.946
-5.003 -0.257 0.703
-1.879 -2.704 3.841
ATOMIC_POSITIONS angstrom
Ca 0.000 0.000 0.000
Ca -2.252 -0.153 2.122
Te -6.755 -0.460 6.367
Co -4.503 -0.307 4.245



Number 1: total energy -7.52 eV per atom. Number 2: total energy -6.18 eV per atom. Number 3: total energy -5.02 eV per atom. Number 4: total energy -3.53 eV per atom.